Record 1
A plane-wave DFT calculation with PBE was carried out for an optimized crystal structure of ScSnRu2.

Properties
The size of the total moment comes out at 0.00 μB/f.u. Its density of states at the Fermi level is 0.608 states/eV per atom. The total DFT energy (no corrections) comes out at -30.928 eV per cell.

a = 4.4858 Å, b = 4.4858 Å, c = 3.2800 Å
α = 90.00°, β = 90.00°, γ = 90.00°
Last column: nearest neighbours and their distance in Å.
Space group P4/mmm (No. 123)
Unique sites:
Sc: 0.0000 0.0000 0.0000 [1 per cell]  8 Ru 2.78
Sn: 0.5000 0.5000 0.0000 [1 per cell]  8 Ru 2.78
Ru: 0.0000 0.5000 0.5000 [2 per cell]  4 Sn 2.78, 4 Sc 2.78

Record 2
A plane-wave DFT calculation with PBE was carried out for an optimized crystal structure of Ba3TiCu2S6.

Properties
The size of the total moment comes out at 0.00 μB/f.u. Its density of states at the Fermi level is 0.065 states/eV per atom. As for the raw formation energy: -1.26 eV per atom.

a = 7.1029 Å, b = 7.1029 Å, c = 7.8404 Å
α = 90.00°, β = 90.00°, γ = 120.00°
Last column: nearest neighbours and their distance in Å.
Space group P-3m1 (No. 164)
Unique sites:
Ba: 0.0000 0.0000 0.0000 [1 per cell]  6 S 3.10
Ba: 0.3333 0.6667 0.6433 [2 per cell]  1 Cu 3.07, 3 S 3.40
Ti: 0.0000 0.0000 0.5000 [1 per cell]  6 S 2.46
Cu: 0.3333 0.6667 0.2519 [2 per cell]  3 S 2.19
S: 0.1586 0.3171 0.3078 [6 per cell]  1 Cu 2.19

Record 3
A plane-wave DFT calculation with PBE was carried out for an optimized crystal structure of Ca2PuSb3Rh4.

Properties
The size of the total moment comes out at 4.90 μB/f.u. Its density of states at the Fermi level is 1.023 states/eV per atom. As for the raw formation energy: -0.68 eV per atom.

a = 4.4144 Å, b = 4.4144 Å, c = 11.3632 Å
α = 90.00°, β = 90.00°, γ = 90.00°
Last column: nearest neighbours and their distance in Å.
Space group P-4m2 (No. 115)
Unique sites:
Ca: 0.0000 0.5000 0.2315 [2 per cell]  4 Sb 3.33, 8 Rh 3.43
Pu: 0.0000 0.0000 0.5000 [1 per cell]  4 Rh 2.75
Sb: 0.0000 0.5000 0.8702 [2 per cell]  5 Rh 2.57-2.65
Sb: 0.5000 0.5000 0.5000 [1 per cell]  4 Rh 2.75
Rh: 0.0000 0.0000 0.0000 [1 per cell]  4 Sb 2.65
Rh: 0.0000 0.5000 0.6439 [2 per cell]  3 Sb 2.57-2.75, 2 Pu 2.75
Rh: 0.5000 0.5000 0.0000 [1 per cell]  4 Sb 2.65

Record 4
A plane-wave DFT calculation with PBE was carried out for an optimized crystal structure of Tl2CuPdSe2.

Properties
The size of the total moment comes out at 0.00 μB/f.u. Its density of states at the Fermi level is 0.650 states/eV per atom. As for the raw formation energy: -0.23 eV per atom.

a = 5.8851 Å, b = 16.4581 Å, c = 6.0150 Å
α = 90.00°, β = 90.00°, γ = 90.00°
Last column: nearest neighbours and their distance in Å.
Space group Ibam (No. 72)
Unique sites:
Tl: 0.2250 0.1644 0.0000 [8 per cell]  4 Se 3.18-3.25, 2 Pd 3.37, 2 Cu 3.49
Cu: 0.0000 0.5000 0.2500 [4 per cell]  4 Se 2.50
Pd: 0.0000 0.0000 0.2500 [4 per cell]  4 Se 2.67, 2 Cu 2.94
Se: 0.2253 0.4090 0.0000 [8 per cell]  2 Cu 2.50, 2 Pd 2.67